1.
Ta2Al5Ir2Rh (PBE-GGA, optimized geometry); formation energy from the elements = -519 meV per atom
1.0
-1.437 3.385 1.388
-5.962 -4.565 4.961
5.884 -0.291 6.803
Al Ta Ir Rh
10 4 4 2
Direct
0.500 0.200 0.063
0.500 0.937 0.200
0.500 0.800 0.937
0.500 0.563 0.700
0.500 0.300 0.563
0.500 0.500 0.000
0.500 0.700 0.437
0.500 0.000 0.500
0.500 0.063 0.800
0.500 0.437 0.300
0.000 0.824 0.676
0.000 0.676 0.176
0.000 0.324 0.824
0.000 0.176 0.324
0.000 0.122 0.622
0.000 0.878 0.378
0.000 0.622 0.878
0.000 0.378 0.122
0.000 0.000 0.000
0.000 0.500 0.500

2.
Cs3Na2PrBr9 (PBE-GGA, optimized geometry); E_form (uncorrected) = -154.7 kJ per mole of atoms
1.0
8.124 0.000 0.000
-4.062 7.036 0.000
0.000 0.000 10.396
Br Na Cs Pr
9 2 3 1
Direct
0.167 0.833 0.337
0.833 0.167 0.663
0.334 0.167 0.663
0.167 0.334 0.337
0.833 0.666 0.663
0.500 0.500 0.000
0.666 0.833 0.337
0.500 0.000 0.000
0.000 0.500 0.000
0.333 0.667 0.166
0.667 0.333 0.834
0.667 0.333 0.319
0.333 0.667 0.681
0.000 0.000 0.000
0.000 0.000 0.500

3.
CeTmTiN3 (PBE-GGA, optimized geometry); E_form (uncorrected) = -129.3 kJ per mole of atoms
1.0
3.350 0.000 0.000
0.000 7.057 1.064
0.000 -1.603 7.826
N Tm Ti Ce
6 2 2 2
Direct
0.250 0.841 0.549
0.750 0.387 0.131
0.250 0.613 0.869
0.750 0.159 0.451
0.250 0.142 0.832
0.750 0.858 0.168
0.250 0.625 0.143
0.750 0.375 0.857
0.250 0.126 0.581
0.750 0.874 0.419
0.250 0.150 0.176
0.750 0.850 0.824

4.
Ac8TbPr6 (PBE-GGA, optimized geometry); formation energy from the elements = 223 meV per atom
1.0
8.529 0.002 3.688
2.424 8.177 3.688
0.003 0.002 9.292
Pr Ac Tb
6 8 1
Direct
0.678 0.064 0.371
0.629 0.322 0.936
0.322 0.936 0.629
0.371 0.678 0.064
0.936 0.629 0.322
0.064 0.371 0.678
0.590 0.864 0.175
0.265 0.265 0.265
0.410 0.136 0.825
0.735 0.735 0.735
0.136 0.825 0.410
0.864 0.175 0.590
0.825 0.410 0.136
0.175 0.590 0.864
0.000 0.000 0.000

5.
Li3MgIn3 (PBE-GGA, optimized geometry); formation energy from the elements = -187 meV per atom
1.0
6.751 -0.060 -0.001
-0.044 6.751 -0.001
0.001 0.001 6.401
In Li Mg
6 6 2
Direct
0.254 0.746 0.000
0.717 0.283 0.500
0.283 0.717 0.500
0.735 0.735 0.500
0.265 0.265 0.500
0.746 0.254 0.000
0.000 0.500 0.252
0.000 0.500 0.748
0.000 0.000 0.747
0.500 0.000 0.748
0.000 0.000 0.253
0.500 0.000 0.252
0.708 0.708 0.000
0.292 0.292 0.000

6.
SrInTc2O8 (PBE-GGA, optimized geometry); E_form (uncorrected) = -152.7 kJ per mole of atoms
1.0
5.845 0.000 0.000
-2.923 5.062 0.000
0.000 0.000 7.088
O Sr Tc In
8 1 2 1
Direct
0.333 0.667 0.024
0.318 0.162 0.293
0.156 0.318 0.707
0.667 0.333 0.976
0.844 0.682 0.293
0.838 0.156 0.293
0.682 0.838 0.707
0.162 0.844 0.707
0.000 0.000 0.000
0.333 0.667 0.775
0.667 0.333 0.225
0.000 0.000 0.500

7.
RbReNO2 (PBE-GGA, optimized geometry); E_form (uncorrected) = -93.3 kJ per mole of atoms
1.0
4.018 0.000 0.000
0.000 4.018 0.000
0.000 0.000 3.924
O N Rb Re
2 1 1 1
Direct
0.500 0.000 0.000
0.000 0.500 0.000
0.000 0.000 0.500
0.500 0.500 0.500
0.000 0.000 0.000

8.
K3Pt2 (PBE-GGA, optimized geometry); polymorph energy (0 for the lowest one) = 76 meV/atom; formation energy from the elements = 87 meV per atom
1.0
5.996 -2.738 -0.002
5.996 2.738 -0.002
4.747 0.000 4.574
K Pt
3 2
Direct
0.779 0.779 0.779
0.221 0.221 0.221
0.000 0.000 0.000
0.574 0.574 0.574
0.426 0.426 0.426